# 1
# Pa2CoNi | Alexandria | PBE-GGA | relaxed
# Density = 13100 kg/m3
data_Pa2CoNi
_cell_length_a 3.3319
_cell_length_b 3.3319
_cell_length_c 6.6188
_cell_angle_alpha 90.00
_cell_angle_beta 90.00
_cell_angle_gamma 90.00
_symmetry_space_group_name_H-M 'P 4/m m m'
_symmetry_Int_Tables_number 123
_symmetry_space_group_name_Hall '-P 4 2'
loop_
_atom_site_label
_atom_site_type_symbol
_atom_site_fract_x
_atom_site_fract_y
_atom_site_fract_z
Pa1 Pa 0.0000 0.0000 0.2374
Co1 Co 0.5000 0.5000 0.0000
Ni1 Ni 0.5000 0.5000 0.5000

---

# 2
# Pa3Co8Ni | Alexandria | PBE-GGA | relaxed
# Density = 12202 kg/m3
data_Pa3Co8Ni
_cell_length_a 4.8708
_cell_length_b 4.8708
_cell_length_c 24.3082
_cell_angle_alpha 90.00
_cell_angle_beta 90.00
_cell_angle_gamma 120.00
_symmetry_space_group_name_H-M 'R 3 m'
_symmetry_Int_Tables_number 160
_symmetry_space_group_name_Hall 'R 3 -2"'
loop_
_atom_site_label
_atom_site_type_symbol
_atom_site_fract_x
_atom_site_fract_y
_atom_site_fract_z
Pa1 Pa 0.0000 0.0000 0.0000
Pa2 Pa 0.0000 0.0000 0.1305
Pa3 Pa 0.0000 0.0000 0.6068
Co1 Co 0.0000 0.0000 0.3088
Co2 Co 0.0000 0.0000 0.8094
Co3 Co 0.0013 0.5007 0.0605
Co4 Co 0.0034 0.5017 0.5584
Ni1 Ni 0.0000 0.0000 0.4876

---

# 3
# Pa3Co5Ni | Alexandria | PBE-GGA | relaxed
# Density = 11735 kg/m3
data_Pa3Co5Ni
_cell_length_a 7.7790
_cell_length_b 7.7790
_cell_length_c 9.7883
_cell_angle_alpha 90.00
_cell_angle_beta 90.00
_cell_angle_gamma 90.00
_symmetry_space_group_name_H-M 'I 4/m c m'
_symmetry_Int_Tables_number 140
_symmetry_space_group_name_Hall '-I 4 2c'
loop_
_atom_site_label
_atom_site_type_symbol
_atom_site_fract_x
_atom_site_fract_y
_atom_site_fract_z
Pa1 Pa 0.0000 0.0000 0.2500
Pa2 Pa 0.1399 0.3601 0.0000
Co1 Co 0.0000 0.0000 0.0000
Co2 Co 0.1931 0.3069 0.3576
Ni1 Ni 0.0000 0.5000 0.2500

---

| no. | V (Å³/f.u.) | Fermi-level density of states (states/eV per atom) | energy of formation (eV per atom) |
| --- | --- | --- | --- |
| 1 | 73.5 | 1.868 | -0.153 |
| 2 | 166.5 | 1.352 | -0.279 |
| 3 | 148.1 | 1.290 | -0.050 |